(1)
This record from the Alexandria database describes a geometry-optimized Tb3PrDyY structure. The functional is PBE-GGA.

Properties
The value obtained for the formation energy is 0.000 eV per atom. The calculation puts the total magnetization at 0.000 μB/atom.

Lattice parameters (Å, degrees): 9.609 3.620 12.036 90.00 110.32 90.00
Element x y z (fractional)
1 Tb 0.067 0.250 0.402
2 Tb 0.181 0.250 0.848
3 Tb 0.430 0.750 0.095
4 Tb 0.570 0.250 0.905
5 Tb 0.819 0.750 0.152
6 Tb 0.933 0.750 0.598
7 Pr 0.372 0.750 0.372
8 Pr 0.628 0.250 0.628
9 Dy 0.123 0.250 0.122
10 Dy 0.877 0.750 0.878
11 Y 0.317 0.750 0.655
12 Y 0.683 0.250 0.345

---

(2)
This record from the Alexandria database describes a geometry-optimized Tb2Pr6Dy3Y structure. The functional is PBE-GGA.

Properties
The value obtained for the formation energy is 0.010 eV per atom. The calculation puts the total magnetization at 0.000 μB/atom.

Lattice parameters (Å, degrees): 6.320 6.320 11.919 95.05 95.05 120.00
Element x y z (fractional)
1 Tb 0.167 0.833 0.000
2 Tb 0.833 0.167 0.000
3 Pr 0.082 0.416 0.749
4 Pr 0.250 0.250 0.251
5 Pr 0.416 0.082 0.749
6 Pr 0.584 0.918 0.251
7 Pr 0.750 0.750 0.749
8 Pr 0.918 0.584 0.251
9 Dy 0.000 0.000 0.500
10 Dy 0.333 0.667 0.500
11 Dy 0.667 0.333 0.500
12 Y 0.500 0.500 0.000